Entry 1:
Computed, not measured: a relaxed SrMg2Ag2Pb2 crystal at the PBE level of DFT.

abc: 4.827 4.827 9.320
angles: 74.99 74.99 60.00
Atoms (fractional coordinates):
Pb 0.743 0.743 0.771
Sr 0.000 0.000 0.000
Ag 0.556 0.556 0.333
Mg 0.139 0.139 0.583
Ag 0.444 0.444 0.667
Pb 0.257 0.257 0.229
Mg 0.861 0.861 0.417

Results
* E_form: -0.250 eV/atom
* symmetry: R-3m (166)
* DFT total energy: -2.82 eV/atom



Entry 2:
Computed, not measured: a relaxed MgTa2AgPb crystal at the PBE level of DFT.

abc: 4.929 4.680 4.929
angles: 90.00 90.00 90.00
Atoms (fractional coordinates):
Mg 0.000 0.000 0.000
Pb 0.500 0.500 0.500
Ta 0.000 0.000 0.500
Ta 0.500 0.000 0.000
Ag 0.000 0.500 0.000

Results
* E_form: 1.562 eV/atom
* symmetry: P4/mmm (123)
* DFT total energy: -4.81 eV/atom



Entry 3:
Computed, not measured: a relaxed MgTiAgPb crystal at the PBE level of DFT.

abc: 4.880 4.880 4.880
angles: 60.00 60.00 60.00
Atoms (fractional coordinates):
Ti 0.500 0.500 0.500
Pb 0.250 0.250 0.250
Ag 0.750 0.750 0.750
Mg 0.000 0.000 0.000

Results
* E_form: 0.096 eV/atom
* symmetry: F-43m (216)
* DFT total energy: -3.92 eV/atom



Entry 4:
Computed, not measured: a relaxed MgTlAgPb crystal at the PBE level of DFT.

abc: 5.190 5.190 5.190
angles: 60.00 60.00 60.00
Atoms (fractional coordinates):
Ag 0.250 0.250 0.250
Pb 0.000 0.000 0.000
Mg 0.750 0.750 0.750
Tl 0.500 0.500 0.500

Results
* E_form: 0.045 eV/atom
* symmetry: F-43m (216)
* DFT total energy: -2.58 eV/atom



Entry 5:
Computed, not measured: a relaxed TmMgAgPb crystal at the PBE level of DFT.

abc: 5.103 5.103 5.103
angles: 60.00 60.00 60.00
Atoms (fractional coordinates):
Tm 0.000 0.000 0.000
Ag 0.250 0.250 0.250
Mg 0.500 0.500 0.500
Pb 0.750 0.750 0.750

Results
* E_form: -0.277 eV/atom
* symmetry: F-43m (216)
* DFT total energy: -3.43 eV/atom



Entry 6:
Computed, not measured: a relaxed MgAg2PbW crystal at the PBE level of DFT.

abc: 5.285 5.292 5.285
angles: 90.00 90.00 90.00
Atoms (fractional coordinates):
W 0.500 0.500 0.500
Mg 0.000 0.500 0.000
Ag 0.000 0.000 0.500
Pb 0.000 0.000 0.000
Ag 0.500 0.000 0.000

Results
* E_form: 1.693 eV/atom
* symmetry: P4/mmm (123)
* DFT total energy: -3.10 eV/atom



Question: What is the E_form in the sixth record?
Answer: 1.693 eV/atom



Question: Which value of E_form does entry 3 give?
Answer: 0.096 eV/atom



Question: The highest DFT total energy belongs to which entry?
Answer: MgTlAgPb



Question: Which of these has the highest E_form?
Answer: MgAg2PbW